Crystalline KTl14Pb at its relaxed geometry, computed with PBE.

Summary:
- Energy relative to the elements: -0.0131 eV/atom

Cell lengths 6.916, 6.916, 11.022 Å; angles 90.00, 90.00, 108.13 degrees
Sites, in units of the cell vectors:
K 0.122 0.878 0.500
Tl 0.120 0.880 0.000
Tl 0.626 0.374 0.000
Tl 0.062 0.362 0.500
Tl 0.135 0.389 0.000
Tl 0.638 0.938 0.500
Tl 0.611 0.865 0.000
Tl 0.412 0.135 0.754
Tl 0.412 0.135 0.246
Tl 0.865 0.588 0.754
Tl 0.865 0.588 0.246
Tl 0.376 0.624 0.737
Tl 0.376 0.624 0.263
Tl 0.899 0.101 0.763
Tl 0.899 0.101 0.237
Pb 0.581 0.419 0.500